A plane-wave DFT calculation with PBEsol was carried out for a geometry-optimized MgTaPt structure.

Cell lengths 2.804, 4.182, 4.877 Å; angles 115.39, 106.71, 90.00 degrees
Element x y z (fractional)
Mg  0.005  0.005  0.009
Pt  0.665  0.665  0.330
Ta  0.330  0.330  0.661

Space group   Imm2
ΔE_f   -0.635 eV/f.u.
Total magnetic moment   0.00 Bohr magnetons per cell

***

A plane-wave DFT calculation with PBEsol was carried out for a geometry-optimized Mg2TcPt structure.

Cell lengths 3.938, 3.938, 4.906 Å; angles 113.66, 113.66, 90.00 degrees
Element x y z (fractional)
Mg  0.750  0.250  0.500
Mg  0.250  0.750  0.500
Pt  0.500  0.500  0.000
Tc  0.000  0.000  0.000

Space group   I4/mmm
ΔE_f   0.020 eV/f.u.
Total magnetic moment   0.47 Bohr magnetons per cell

***

A plane-wave DFT calculation with PBEsol was carried out for a geometry-optimized Mg2TcPt structure.

Cell lengths 2.703, 5.224, 5.224 Å; angles 114.61, 101.96, 101.96 degrees
Element x y z (fractional)
Mg  0.000  0.500  0.000
Mg  0.000  0.000  0.500
Pt  0.500  0.000  0.000
Tc  0.500  0.500  0.500

Space group   C2/m
ΔE_f   -0.374 eV/f.u.
Total magnetic moment   0.00 Bohr magnetons per cell

***

A plane-wave DFT calculation with PBEsol was carried out for a geometry-optimized YMg2TcPt structure.

Cell lengths 4.454, 5.228, 5.228 Å; angles 90.00, 90.00, 90.00 degrees
Element x y z (fractional)
Y  0.000  0.000  0.000
Mg  0.000  0.000  0.500
Mg  0.000  0.500  0.000
Tc  0.500  0.000  0.000
Pt  0.500  0.500  0.500

Space group   P4/mmm
ΔE_f   8.643 eV/f.u.
Total magnetic moment   0.00 Bohr magnetons per cell

***

A plane-wave DFT calculation with PBEsol was carried out for a geometry-optimized Mg2TePt structure.

Cell lengths 3.782, 4.489, 4.489 Å; angles 90.00, 90.00, 90.00 degrees
Element x y z (fractional)
Mg  0.000  0.000  0.500
Mg  0.000  0.500  0.000
Pt  0.500  0.500  0.500
Te  0.500  0.000  0.000

Space group   P4/mmm
Raw formation energy   -0.462 eV per atom
Total magnetic moment   0.00 Bohr magnetons per cell

***

A plane-wave DFT calculation with PBEsol was carried out for a geometry-optimized MgTePt3 structure.

Cell lengths 4.894, 4.894, 4.894 Å; angles 90.00, 90.00, 90.00 degrees
Element x y z (fractional)
Mg  0.500  0.500  0.500
Te  0.000  0.000  0.000
Pt  0.000  0.500  0.000
Pt  0.000  0.000  0.500
Pt  0.500  0.000  0.000

Space group   Pm-3m
Raw formation energy   0.535 eV per atom
Total magnetic moment   0.00 Bohr magnetons per cell

***

A plane-wave DFT calculation with PBEsol was carried out for a geometry-optimized Mg2TePt structure.

Cell lengths 4.274, 4.274, 6.086 Å; angles 69.44, 69.44, 60.00 degrees
Element x y z (fractional)
Mg  0.021  0.021  0.936
Mg  0.815  0.815  0.554
Pt  0.412  0.412  0.763
Te  0.251  0.251  0.247

Space group   R3m
Raw formation energy   -0.517 eV per atom
Total magnetic moment   0.00 Bohr magnetons per cell

***

A plane-wave DFT calculation with PBEsol was carried out for a geometry-optimized MgTePt2 structure.

Cell lengths 3.805, 4.275, 4.275 Å; angles 90.00, 90.00, 90.00 degrees
Element x y z (fractional)
Mg  0.500  0.000  0.000
Pt  0.000  0.000  0.500
Pt  0.000  0.500  0.000
Te  0.500  0.500  0.500

Space group   P4/mmm
Raw formation energy   -0.359 eV per atom
Total magnetic moment   0.00 Bohr magnetons per cell

***

A plane-wave DFT calculation with PBEsol was carried out for a geometry-optimized Mg2TiPt structure.

Cell lengths 5.272, 5.989, 5.989 Å; angles 78.83, 63.89, 63.89 degrees
Element x y z (fractional)
Mg  0.875  0.043  0.457
Mg  0.375  0.957  0.543
Mg  0.668  0.457  0.957
Mg  0.082  0.543  0.043
Pt  0.000  0.000  0.000
Pt  0.750  0.500  0.500
Ti  0.500  0.000  0.000
Ti  0.250  0.500  0.500

Space group   I-42d
ΔE_f   0.229 eV/f.u.
Total magnetic moment   0.04 Bohr magnetons per cell

***

A plane-wave DFT calculation with PBEsol was carried out for a geometry-optimized Mg2TlPt structure.

Cell lengths 3.173, 3.173, 7.651 Å; angles 90.00, 90.00, 90.00 degrees
Element x y z (fractional)
Tl  0.500  0.500  0.500
Mg  0.000  0.000  0.798
Mg  0.000  0.000  0.202
Pt  0.500  0.500  0.000

Space group   P4/mmm
ΔE_f   -1.799 eV/f.u.
Total magnetic moment   0.00 Bohr magnetons per cell

***

A plane-wave DFT calculation with PBEsol was carried out for a geometry-optimized MgTl2Pt structure.

Cell lengths 3.326, 3.326, 7.892 Å; angles 90.00, 90.00, 90.00 degrees
Element x y z (fractional)
Mg  0.000  0.000  0.556
Pt  0.500  0.500  0.718
Tl  0.000  0.000  0.952
Tl  0.500  0.500  0.275

Space group   P4mm
ΔE_f   -0.740 eV/f.u.
Total magnetic moment   0.00 Bohr magnetons per cell

***

A plane-wave DFT calculation with PBEsol was carried out for a geometry-optimized MgTl2Pt structure.

Cell lengths 3.421, 4.816, 5.193 Å; angles 90.00, 93.78, 90.00 degrees
Element x y z (fractional)
Mg  0.500  0.500  0.000
Pt  0.000  0.500  0.500
Tl  0.781  0.000  0.742
Tl  0.219  0.000  0.258

Space group   P2/m
ΔE_f   -0.006 eV/f.u.
Total magnetic moment   0.00 Bohr magnetons per cell

***

A plane-wave DFT calculation with PBEsol was carried out for a geometry-optimized MgTl2Pt structure.

Cell lengths 4.875, 4.875, 4.875 Å; angles 60.00, 60.00, 60.00 degrees
Element x y z (fractional)
Mg  0.000  0.000  0.000
Pt  0.500  0.500  0.500
Tl  0.250  0.250  0.250
Tl  0.750  0.750  0.750

Space group   Fm-3m
ΔE_f   -0.062 eV/f.u.
Total magnetic moment   0.00 Bohr magnetons per cell

***

A plane-wave DFT calculation with PBEsol was carried out for a geometry-optimized TmMgPt2 structure.

Cell lengths 4.649, 4.649, 4.649 Å; angles 60.00, 60.00, 60.00 degrees
Element x y z (fractional)
Mg  0.000  0.000  0.000
Tm  0.500  0.500  0.500
Pt  0.250  0.250  0.250
Pt  0.750  0.750  0.750

Space group   Fm-3m
ΔE_f   -4.098 eV/f.u.
Total magnetic moment   0.00 Bohr magnetons per cell

***

A plane-wave DFT calculation with PBEsol was carried out for a geometry-optimized Mg2PtW structure.

Cell lengths 4.517, 4.517, 4.517 Å; angles 60.00, 60.00, 60.00 degrees
Element x y z (fractional)
Mg  0.000  0.000  0.000
Mg  0.750  0.750  0.750
Pt  0.500  0.500  0.500
W  0.250  0.250  0.250

Space group   F-43m
ΔE_f   0.820 eV/f.u.
Total magnetic moment   1.83 Bohr magnetons per cell

***

A plane-wave DFT calculation with PBEsol was carried out for a geometry-optimized Mg2PtW structure.

Cell lengths 2.838, 2.838, 8.535 Å; angles 90.00, 90.00, 90.00 degrees
Element x y z (fractional)
Mg  0.000  0.000  0.976
Mg  0.500  0.500  0.287
Pt  0.000  0.000  0.510
W  0.500  0.500  0.728

Space group   P4mm
ΔE_f   -0.318 eV/f.u.
Total magnetic moment   0.00 Bohr magnetons per cell

***

A plane-wave DFT calculation with PBEsol was carried out for a geometry-optimized Mg2PtW structure.

Cell lengths 2.851, 4.717, 4.837 Å; angles 90.00, 90.00, 90.00 degrees
Element x y z (fractional)
Mg  0.000  0.000  0.000
Mg  0.500  0.000  0.500
Pt  0.500  0.500  0.000
W  0.000  0.500  0.500

Space group   Pmmm
ΔE_f   0.521 eV/f.u.
Total magnetic moment   0.00 Bohr magnetons per cell

***

A plane-wave DFT calculation with PBEsol was carried out for a geometry-optimized Mg2PtW structure.

Cell lengths 3.944, 3.944, 4.152 Å; angles 90.00, 90.00, 90.00 degrees
Element x y z (fractional)
Mg  0.000  0.500  0.000
Mg  0.500  0.000  0.000
Pt  0.500  0.500  0.500
W  0.000  0.000  0.500

Space group   P4/mmm
ΔE_f   0.585 eV/f.u.
Total magnetic moment   0.00 Bohr magnetons per cell

***

A plane-wave DFT calculation with PBEsol was carried out for a geometry-optimized MgPtW structure.

Cell lengths 2.829, 2.829, 6.953 Å; angles 90.00, 90.00, 120.00 degrees
Element x y z (fractional)
Mg  0.000  0.000  0.989
Pt  0.667  0.333  0.661
W  0.333  0.667  0.349

Space group   P3m1
ΔE_f   0.152 eV/f.u.
Total magnetic moment   0.00 Bohr magnetons per cell

***

A plane-wave DFT calculation with PBEsol was carried out for a geometry-optimized Mg2PtW structure.

Cell lengths 4.503, 4.503, 4.503 Å; angles 60.00, 60.00, 60.00 degrees
Element x y z (fractional)
Mg  0.250  0.250  0.250
Mg  0.750  0.750  0.750
Pt  0.000  0.000  0.000
W  0.500  0.500  0.500

Space group   Fm-3m
ΔE_f   1.402 eV/f.u.
Total magnetic moment   2.41 Bohr magnetons per cell